No. 1
La2Y4Er2Th | PBE | optimized geometry

Properties
- formation enthalpy at 0 K (eV per formula unit) = -0.01
- SG = C2/m

Structure (POSCAR):
```
La2Y4Er2Th
1.0
-0.9357 -3.4962 0.1387
2.7864 1.4904 9.0737
-9.0987 2.3578 -1.9490
Er Th Y La
2 1 4 2
direct
0.8529 0.7057 0.3396
0.1471 0.2943 0.6604
0.0000 0.0000 0.0000
0.1850 0.3700 0.3344
0.8150 0.6300 0.6656
0.5184 0.0368 0.3312
0.4816 0.9632 0.6688
0.6636 0.3271 0.9986
0.3364 0.6729 0.0014
```


No. 2
LiInRh2Au | PBE | optimized geometry

Properties
- formation enthalpy at 0 K (eV per formula unit) = 2.13
- SG = P4/mmm

Structure (POSCAR):
```
LiInRh2Au
1.0
4.2385 0.0000 0.0000
0.0000 4.4510 0.0000
0.0000 0.0000 4.2385
Rh Li Au In
2 1 1 1
direct
0.0000 0.0000 0.5000
0.5000 0.0000 0.0000
0.0000 0.0000 0.0000
0.5000 0.5000 0.5000
0.0000 0.5000 0.0000
```


No. 3
CeNpTeN2 | PBE | optimized geometry

Properties
- formation energy without anion corrections (eV per atom) = -1.37
- SG = I4mm

Structure (POSCAR):
```
CeNpTeN2
1.0
-0.0167 3.2622 2.1968
-3.7250 0.6917 -1.0555
-0.1738 -5.3556 4.4309
Np Ce Te N
1 1 1 2
direct
0.1646 0.1646 0.3293
0.8412 0.8412 0.6825
0.5040 0.5040 0.0080
0.2451 0.7451 0.4901
0.7451 0.2451 0.4901
```


No. 4
CrPAu4 | PBE | optimized geometry

Properties
- formation enthalpy at 0 K (eV per formula unit) = 2.74
- SG = F-43m

Structure (POSCAR):
```
CrPAu4
1.0
-3.2419 -3.4848 2.7018
-4.9700 -1.1918 -1.9575
-1.0075 -4.9653 -2.0699
Au P Cr
4 1 1
direct
0.1256 0.6248 0.6248
0.6248 0.6248 0.1256
0.6248 0.1256 0.6248
0.6248 0.6248 0.6248
0.0000 0.0000 0.0000
0.2500 0.2500 0.2500
```


No. 5
LiCe5Sn6 | PBE | optimized geometry

Properties
- formation enthalpy at 0 K (eV per formula unit) = -6.63
- SG = Immm

Structure (POSCAR):
```
LiCe5Sn6
1.0
-1.9618 3.3294 -2.9004
-6.3988 -6.1615 1.2789
1.8388 4.2670 7.6783
Sn Ce Li
6 5 1
direct
0.2467 0.4123 0.0812
0.2578 0.7581 0.7581
0.7533 0.9188 0.5877
0.7422 0.2419 0.2419
0.7533 0.5877 0.9188
0.2467 0.0812 0.4123
0.5000 0.1592 0.8408
0.5000 0.5000 0.5000
0.0000 0.3361 0.6639
0.0000 0.6639 0.3361
0.5000 0.8408 0.1592
0.0000 0.0000 0.0000
```


No. 6
YFeSe2 | PBE | optimized geometry

Properties
- formation energy without anion corrections (eV per atom) = -0.76
- SG = P2/m

Structure (POSCAR):
```
YFeSe2
1.0
3.5524 0.0000 0.0000
0.0000 3.6459 -0.1330
0.0000 0.2322 6.7818
Y Fe Se
1 1 2
direct
0.5000 0.2500 0.2500
0.5000 0.7500 0.7500
0.0000 0.7492 0.0116
0.0000 0.7508 0.4884
```


No. 7
KIrOs2 | PBE | optimized geometry

Properties
- formation enthalpy at 0 K (eV per formula unit) = 6.50
- E above lowest polymorph (meV per atom) = 939
- SG = P4/mmm

Structure (POSCAR):
```
KIrOs2
1.0
5.0621 0.0000 0.0000
0.0000 5.0621 0.0000
0.0000 0.0000 2.6660
Os Ir K
2 1 1
direct
0.5000 0.5000 0.0000
0.0000 0.0000 0.0000
0.5000 0.0000 0.5000
0.0000 0.5000 0.5000
```


No. 8
Li2BiPb | PBE | optimized geometry

Properties
- formation enthalpy at 0 K (eV per formula unit) = -0.65
- SG = I-42d

Structure (POSCAR):
```
Li2BiPb
1.0
4.6381 0.0000 0.0000
0.0000 4.6381 0.0000
2.3190 2.3190 9.8109
Pb Li Bi
2 4 2
direct
0.2500 0.7500 0.5000
0.5000 0.5000 0.0000
0.6259 0.1250 0.2500
0.3750 0.3741 0.7500
0.1241 0.6250 0.2500
0.8750 0.8759 0.7500
0.0000 0.0000 0.0000
0.7500 0.2500 0.5000
```


No. 9
Pm2PuHf | PBE | optimized geometry

Properties
- formation enthalpy at 0 K (eV per formula unit) = 1.33
- SG = R-3m

Structure (POSCAR):
```
Pm2PuHf
1.0
3.3732 0.0000 0.0000
1.6866 2.9213 0.0000
1.6866 0.9738 11.9886
Pm Pu Hf
2 1 1
direct
0.9079 0.9079 0.2763
0.0921 0.0921 0.7237
0.0000 0.0000 0.0000
0.5000 0.5000 0.5000
```


No. 10
Pm3YPa2P6 | PBE | optimized geometry

Properties
- formation enthalpy at 0 K (eV per formula unit) = -18.05
- SG = C2/m

Structure (POSCAR):
```
Pm3YPa2P6
1.0
-2.3921 -3.7844 -5.3879
-2.3867 -1.2221 6.4717
-3.2574 6.0891 -1.3141
P Pm Pa Y
6 3 2 1
direct
0.2594 0.2594 0.7626
0.5823 0.9211 0.7635
0.9211 0.5823 0.7635
0.7406 0.7406 0.2374
0.0789 0.4177 0.2365
0.4177 0.0789 0.2365
0.1654 0.8346 0.5000
0.8346 0.1654 0.5000
0.5000 0.5000 0.5000
0.6667 0.3333 0.0000
0.3333 0.6667 0.0000
0.0000 0.0000 0.0000
```


No. 11
Na2ZnTe2 | PBE | optimized geometry

Properties
- formation energy without anion corrections (eV per atom) = -0.14
- SG = I4/mmm

Structure (POSCAR):
```
Na2ZnTe2
1.0
4.5715 0.0000 0.0000
0.0000 4.5715 0.0000
2.2858 2.2858 8.0073
Na Zn Te
2 1 2
direct
0.6103 0.6103 0.7794
0.3897 0.3897 0.2206
0.0000 0.0000 0.0000
0.2500 0.7500 0.5000
0.7500 0.2500 0.5000
```


No. 12
Rb2Cd2In | PBE | optimized geometry

Properties
- formation enthalpy at 0 K (eV per formula unit) = 0.37
- E above lowest polymorph (meV per atom) = 141
- SG = I4/mmm

Structure (POSCAR):
```
Rb2Cd2In
1.0
-1.1606 0.5672 -3.9799
-0.8335 -4.0863 -0.3393
-12.1576 0.2234 1.3775
Cd Rb In
2 2 1
direct
0.2500 0.7500 0.5000
0.7500 0.2500 0.5000
0.6079 0.6079 0.7842
0.3921 0.3921 0.2158
0.0000 0.0000 0.0000
```


Number 1: final energy -52.26 eV/cell. Number 2: final energy -20.50 eV/cell. Number 3: final energy -45.50 eV/cell. Number 4: final energy -25.41 eV/cell. Number 5: final energy -62.23 eV/cell. Number 6: final energy -24.93 eV/cell. Number 7: final energy -25.92 eV/cell. Number 8: final energy -24.14 eV/cell. Number 9: final energy -32.45 eV/cell. Number 10: final energy -90.22 eV/cell. Number 11: final energy -10.88 eV/cell. Number 12: final energy -6.13 eV/cell.